[1]
First-principles (PBE-GGA) data for a geometry-optimized Rb3TiMn structure, as listed in Alexandria via LeMat-Bulk.

Computed properties:
The value obtained for the formation energy is 1.4304 eV per atom.

a = 7.024 Å, b = 7.024 Å, c = 7.024 Å
α = 90.00°, β = 90.00°, γ = 90.00°
Element x y z (fractional)
Rb (0.000, 0.000, 0.500)
Rb (0.000, 0.500, 0.000)
Rb (0.500, 0.000, 0.000)
Ti (0.000, 0.000, 0.000)
Mn (0.500, 0.500, 0.500)

[2]
First-principles (PBE-GGA) data for a geometry-optimized Ti7Ga2Au2 structure, as listed in Alexandria via LeMat-Bulk.

Computed properties:
The value obtained for the formation energy is 0.0866 eV per atom.

a = 5.790 Å, b = 5.790 Å, c = 6.752 Å
α = 90.07°, β = 90.07°, γ = 68.27°
Element x y z (fractional)
Ti (0.000, 0.000, 0.000)
Ti (0.000, 0.499, 0.295)
Ti (0.000, 0.501, 0.705)
Ti (0.499, 0.000, 0.295)
Ti (0.500, 0.500, 0.249)
Ti (0.500, 0.500, 0.751)
Ti (0.501, 0.000, 0.705)
Ga (0.289, 0.289, 0.000)
Ga (0.711, 0.711, 0.000)
Au (0.200, 0.800, 0.500)
Au (0.800, 0.200, 0.500)

[3]
First-principles (PBE-GGA) data for a geometry-optimized Cu2SiO4 structure, as listed in Alexandria via LeMat-Bulk.

Computed properties:
The value obtained for the formation energy (no corrections) is -1.387 eV per atom.

a = 4.824 Å, b = 4.824 Å, c = 4.824 Å
α = 116.19°, β = 116.19°, γ = 96.73°
Element x y z (fractional)
Cu (0.250, 0.750, 0.500)
Cu (0.750, 0.250, 0.500)
Si (0.000, 0.000, 0.000)
O (0.045, 0.665, 0.000)
O (0.335, 0.335, 0.379)
O (0.665, 0.045, 0.000)
O (0.955, 0.955, 0.621)

[4]
First-principles (PBE-GGA) data for a geometry-optimized Ac5Ga2Au2 structure, as listed in Alexandria via LeMat-Bulk.

Computed properties:
The calculation puts the energy above the most stable polymorph in this dataset at 0 meV/atom. The value obtained for the formation energy is -0.5667 eV per atom.

a = 9.616 Å, b = 9.616 Å, c = 8.151 Å
α = 90.00°, β = 90.00°, γ = 51.60°
Element x y z (fractional)
Ac (0.000, 0.000, 0.000)
Ac (0.036, 0.680, 0.668)
Ac (0.180, 0.536, 0.168)
Ac (0.320, 0.964, 0.668)
Ac (0.464, 0.820, 0.168)
Ac (0.500, 0.500, 0.500)
Ac (0.536, 0.180, 0.832)
Ac (0.680, 0.036, 0.332)
Ac (0.820, 0.464, 0.832)
Ac (0.964, 0.320, 0.332)
Ga (0.116, 0.884, 0.389)
Ga (0.384, 0.616, 0.889)
Ga (0.616, 0.384, 0.111)
Ga (0.884, 0.116, 0.611)
Au (0.205, 0.205, 0.000)
Au (0.295, 0.295, 0.500)
Au (0.705, 0.705, 0.500)
Au (0.795, 0.795, 0.000)

[5]
First-principles (PBE-GGA) data for a geometry-optimized LaSm2Th3N6 structure, as listed in Alexandria via LeMat-Bulk.

Computed properties:
The value obtained for the formation energy (no corrections) is -1.535 eV per atom.

a = 6.343 Å, b = 6.343 Å, c = 6.306 Å
α = 99.66°, β = 99.66°, γ = 119.95°
Element x y z (fractional)
La (0.000, 0.000, 0.000)
Sm (0.333, 0.667, 0.000)
Sm (0.667, 0.333, 0.000)
Th (0.167, 0.833, 0.500)
Th (0.500, 0.500, 0.500)
Th (0.833, 0.167, 0.500)
N (0.088, 0.428, 0.264)
N (0.253, 0.253, 0.738)
N (0.428, 0.088, 0.264)
N (0.572, 0.912, 0.736)
N (0.747, 0.747, 0.262)
N (0.912, 0.572, 0.736)

[6]
First-principles (PBE-GGA) data for a geometry-optimized RbLi2Pt structure, as listed in Alexandria via LeMat-Bulk.

Computed properties:
The value obtained for the formation energy is 0.0144 eV per atom.

a = 8.882 Å, b = 8.882 Å, c = 8.882 Å
α = 143.26°, β = 143.26°, γ = 52.93°
Element x y z (fractional)
Rb (0.000, 0.000, 0.000)
Rb (0.750, 0.250, 0.500)
Li (0.374, 0.625, 0.249)
Li (0.375, 0.624, 0.749)
Li (0.376, 0.125, 0.751)
Li (0.875, 0.626, 0.251)
Pt (0.250, 0.750, 0.500)
Pt (0.500, 0.500, 0.000)

[7]
First-principles (PBE-GGA) data for a geometry-optimized B3MoP structure, as listed in Alexandria via LeMat-Bulk.

Computed properties:
The calculation puts the energy above the most stable polymorph in this dataset at 267 meV/atom. The value obtained for the formation energy is 1.8095 eV per atom.

a = 4.171 Å, b = 4.171 Å, c = 4.171 Å
α = 90.00°, β = 90.00°, γ = 90.00°
Element x y z (fractional)
B (0.000, 0.000, 0.500)
B (0.000, 0.500, 0.000)
B (0.500, 0.000, 0.000)
Mo (0.000, 0.000, 0.000)
P (0.500, 0.500, 0.500)

[8]
First-principles (PBE-GGA) data for a geometry-optimized BaFeSi2 structure, as listed in Alexandria via LeMat-Bulk.

Computed properties:
The value obtained for the formation energy (no corrections) is 0.145 eV per atom.

a = 3.222 Å, b = 3.222 Å, c = 7.384 Å
α = 90.00°, β = 90.00°, γ = 90.00°
Element x y z (fractional)
Ba (0.000, 0.000, 0.000)
Fe (0.500, 0.500, 0.356)
Si (0.000, 0.000, 0.459)
Si (0.500, 0.500, 0.662)

[9]
First-principles (PBE-GGA) data for a geometry-optimized UInTe2N structure, as listed in Alexandria via LeMat-Bulk.

Computed properties:
The value obtained for the formation energy (no corrections) is -0.815 eV per atom.

a = 3.969 Å, b = 3.969 Å, c = 16.811 Å
α = 90.00°, β = 90.00°, γ = 90.00°
Element x y z (fractional)
U (0.250, 0.250, 0.066)
U (0.750, 0.750, 0.934)
In (0.250, 0.250, 0.655)
In (0.750, 0.750, 0.345)
Te (0.250, 0.250, 0.402)
Te (0.250, 0.250, 0.830)
Te (0.750, 0.750, 0.170)
Te (0.750, 0.750, 0.598)
N (0.250, 0.750, 0.000)
N (0.750, 0.250, 0.000)

[10]
First-principles (PBE-GGA) data for a geometry-optimized K2InCo structure, as listed in Alexandria via LeMat-Bulk.

Computed properties:
The value obtained for the formation energy is 0.3665 eV per atom.

a = 4.487 Å, b = 4.487 Å, c = 9.428 Å
α = 103.27°, β = 103.27°, γ = 59.93°
Element x y z (fractional)
K (0.000, 0.000, 0.000)
K (0.174, 0.174, 0.540)
In (0.753, 0.753, 0.270)
Co (0.420, 0.420, 0.270)

[11]
First-principles (PBE-GGA) data for a geometry-optimized TaHgAs2 structure, as listed in Alexandria via LeMat-Bulk.

Computed properties:
The value obtained for the formation energy is -0.0699 eV per atom.

a = 3.441 Å, b = 3.441 Å, c = 6.617 Å
α = 90.00°, β = 90.00°, γ = 90.00°
Element x y z (fractional)
Ta (0.000, 0.000, 0.000)
Hg (0.000, 0.000, 0.500)
As (0.500, 0.500, 0.201)
As (0.500, 0.500, 0.799)

[12]
First-principles (PBE-GGA) data for a geometry-optimized K2Ba3US6 structure, as listed in Alexandria via LeMat-Bulk.

Computed properties:
The value obtained for the formation energy (no corrections) is -1.693 eV per atom.

a = 7.764 Å, b = 7.764 Å, c = 7.510 Å
α = 100.09°, β = 100.09°, γ = 119.54°
Element x y z (fractional)
K (0.165, 0.835, 0.000)
K (0.835, 0.165, 0.000)
Ba (0.000, 0.000, 0.500)
Ba (0.328, 0.672, 0.500)
Ba (0.672, 0.328, 0.500)
U (0.500, 0.500, 0.000)
S (0.131, 0.423, 0.768)
S (0.291, 0.291, 0.231)
S (0.423, 0.131, 0.768)
S (0.577, 0.869, 0.232)
S (0.709, 0.709, 0.769)
S (0.869, 0.577, 0.232)

[13]
First-principles (PBE-GGA) data for a geometry-optimized In2HgS2 structure, as listed in Alexandria via LeMat-Bulk.

Computed properties:
The value obtained for the formation energy (no corrections) is -0.311 eV per atom. The calculation puts the energy above the most stable polymorph in this dataset at 0 meV/atom.

a = 6.207 Å, b = 6.207 Å, c = 6.207 Å
α = 133.40°, β = 133.40°, γ = 68.03°
Element x y z (fractional)
In (0.140, 0.140, 0.000)
In (0.860, 0.860, 0.000)
Hg (0.500, 0.500, 0.000)
S (0.250, 0.750, 0.500)
S (0.750, 0.250, 0.500)

[14]
First-principles (PBE-GGA) data for a geometry-optimized LiCa2Ta structure, as listed in Alexandria via LeMat-Bulk.

Computed properties:
The calculation puts the energy above the most stable polymorph in this dataset at 66 meV/atom. The value obtained for the formation energy is 0.5551 eV per atom.

a = 3.309 Å, b = 3.309 Å, c = 9.330 Å
α = 90.00°, β = 90.00°, γ = 90.00°
Element x y z (fractional)
Li (0.000, 0.000, 0.000)
Ca (0.000, 0.000, 0.417)
Ca (0.500, 0.500, 0.767)
Ta (0.500, 0.500, 0.172)

[15]
First-principles (PBE-GGA) data for a geometry-optimized Ba2GaPtRh structure, as listed in Alexandria via LeMat-Bulk.

Computed properties:
The value obtained for the formation energy is -0.6370 eV per atom.

a = 4.527 Å, b = 4.527 Å, c = 14.837 Å
α = 90.00°, β = 90.00°, γ = 90.00°
Element x y z (fractional)
Ba (0.250, 0.250, 0.102)
Ba (0.250, 0.250, 0.673)
Ba (0.750, 0.750, 0.327)
Ba (0.750, 0.750, 0.898)
Ga (0.250, 0.250, 0.426)
Ga (0.750, 0.750, 0.574)
Pt (0.250, 0.250, 0.884)
Pt (0.750, 0.750, 0.116)
Rh (0.250, 0.750, 0.500)
Rh (0.750, 0.250, 0.500)

[16]
First-principles (PBE-GGA) data for a geometry-optimized ZrW2Cl structure, as listed in Alexandria via LeMat-Bulk.

Computed properties:
The value obtained for the formation energy (no corrections) is 0.575 eV per atom. The calculation puts the energy above the most stable polymorph in this dataset at 607 meV/atom.

a = 5.264 Å, b = 5.264 Å, c = 5.264 Å
α = 142.86°, β = 120.67°, γ = 72.10°
Element x y z (fractional)
Zr (0.000, 0.000, 0.000)
W (0.471, 0.471, 0.000)
W (0.690, 0.190, 0.500)
Cl (0.245, 0.745, 0.500)

[17]
First-principles (PBE-GGA) data for a geometry-optimized HfZn2Au4 structure, as listed in Alexandria via LeMat-Bulk.

Computed properties:
The calculation puts the energy above the most stable polymorph in this dataset at 36 meV/atom. The value obtained for the formation energy is -0.2328 eV per atom.

a = 6.967 Å, b = 6.967 Å, c = 6.967 Å
α = 109.96°, β = 109.96°, γ = 108.50°
Element x y z (fractional)
Hf (0.000, 0.000, 0.000)
Hf (0.750, 0.250, 0.500)
Zn (0.232, 0.625, 0.107)
Zn (0.375, 0.482, 0.607)
Zn (0.518, 0.125, 0.893)
Zn (0.875, 0.768, 0.393)
Au (0.134, 0.714, 0.744)
Au (0.139, 0.220, 0.756)
Au (0.286, 0.030, 0.419)
Au (0.464, 0.384, 0.244)
Au (0.611, 0.866, 0.581)
Au (0.616, 0.861, 0.081)
Au (0.780, 0.536, 0.919)
Au (0.970, 0.389, 0.256)

[18]
First-principles (PBE-GGA) data for a geometry-optimized Ga3MoP structure, as listed in Alexandria via LeMat-Bulk.

Computed properties:
The calculation puts the energy above the most stable polymorph in this dataset at 40 meV/atom. The value obtained for the formation energy is 0.9343 eV per atom.

a = 4.719 Å, b = 4.719 Å, c = 4.719 Å
α = 90.00°, β = 90.00°, γ = 90.00°
Element x y z (fractional)
Ga (0.000, 0.000, 0.500)
Ga (0.000, 0.500, 0.000)
Ga (0.500, 0.000, 0.000)
Mo (0.500, 0.500, 0.500)
P (0.000, 0.000, 0.000)

[19]
First-principles (PBE-GGA) data for a geometry-optimized MgMnAg2 structure, as listed in Alexandria via LeMat-Bulk.

Computed properties:
The value obtained for the formation energy is 0.0723 eV per atom.

a = 5.112 Å, b = 5.112 Å, c = 5.112 Å
α = 133.10°, β = 133.10°, γ = 68.50°
Element x y z (fractional)
Mg (0.000, 0.000, 0.000)
Mn (0.750, 0.250, 0.500)
Ag (0.250, 0.750, 0.500)
Ag (0.500, 0.500, 0.000)

[20]
First-principles (PBE-GGA) data for a geometry-optimized VPtS3 structure, as listed in Alexandria via LeMat-Bulk.

Computed properties:
The value obtained for the formation energy (no corrections) is 0.587 eV per atom. The calculation puts the energy above the most stable polymorph in this dataset at 200 meV/atom.

a = 4.687 Å, b = 4.687 Å, c = 4.687 Å
α = 90.00°, β = 90.00°, γ = 90.00°
Element x y z (fractional)
V (0.000, 0.000, 0.000)
Pt (0.500, 0.500, 0.500)
S (0.000, 0.500, 0.500)
S (0.500, 0.000, 0.500)
S (0.500, 0.500, 0.000)

Calculated total magnetic moment (μB/f.u.), listed in the same order as above: 9.2 5.6 1.9 0.0 0.0 0.0 0.0 0.8 1.5 1.1 0.0 2.0 0.0 0.0 0.0 0.0 0.0 3.6 4.2 2.0